The following is a DFT calculation (PBE-GGA) of a relaxed PtAuF crystal.

a b c (Å): 2.8623 2.8623 12.9265
angles (deg): 90.00 90.00 120.43
Last column: nearest neighbours and their distance in Å.
Fractional coordinates of all 6 atoms:
Pt1 0.0000 0.0000 0.1821  2 F 2.49, 2 Au 2.75
Pt2 0.0000 0.0000 0.8179  2 F 2.49, 2 Au 2.75
Au1 0.5000 0.5000 0.0000  4 Pt 2.75, 6 Au 2.84-2.86
Au2 0.5000 0.5000 0.5000  2 F 2.07
F1 0.5000 0.5000 0.3398  1 Au 2.07
F2 0.5000 0.5000 0.6602  1 Au 2.07

Summary:
Its formation energy (no corrections) is -5.680 kcal/mol of atoms. As for the calculated density: 14.95 g/cm³. As for the space group: No. 65.